(i)
NbV3W2: relaxed, PBE.

The space group is Cmcm (No. 63) and the conventional cell measures 7.8401, 5.3125 and 9.0137 Å, with angles of 90.00, 90.00 and 90.00 degrees. The inequivalent atoms are Nb at (0.0000, 0.2487, 0.2500), V at (0.0000, 0.5000, 0.0000), V at (0.1717, 0.0000, 0.0000) and W at (0.1645, 0.2515, 0.7500).

The value obtained for the density of states at the Fermi level is 1.20 states/eV/atom.

(ii)
NbV3W2: relaxed, PBE.

The space group is C2/m (No. 12) and the conventional cell measures 4.3788, 13.2378 and 6.2394 Å, with angles of 90.00, 90.52 and 90.00 degrees. The inequivalent atoms are Nb at (0.0000, 0.1658, 0.0000), V at (0.9999, 0.0000, 0.2551), V at (0.0002, 0.3353, 0.2560), W at (0.0000, 0.1668, 0.5000), W at (0.0000, 0.5000, 0.0000) and W at (0.0000, 0.5000, 0.5000).

The value obtained for the density of states at the Fermi level is 1.26 states/eV/atom.

The most stable of them is (ii).

(i)
NbV6W: relaxed, PBE.

The space group is R-3m (No. 166, hexagonal axes) and the conventional cell measures 8.9485, 8.9485 and 5.1539 Å, with angles of 90.00, 90.00 and 120.00 degrees. The inequivalent atoms are Nb at (0.0000, 0.0000, 0.0000), V at (0.0028, 0.5014, 0.2489) and W at (0.0000, 0.0000, 0.5000).

The value obtained for the density of states at the Fermi level is 1.46 states/eV/atom.

(ii)
NbV6W: relaxed, PBE.

The space group is Amm2 (No. 38) and the conventional cell measures 4.3225, 6.1532 and 8.7019 Å, with angles of 90.00, 90.00 and 90.00 degrees. The inequivalent atoms are Nb at (0.0000, 0.0000, 0.0000), V at (0.0000, 0.0000, 0.4928), V at (0.0000, 0.2489, 0.2479), V at (0.5000, 0.0000, 0.2514), V at (0.5000, 0.2435, 0.4952) and W at (0.5000, 0.0000, 0.7434).

The value obtained for the density of states at the Fermi level is 1.79 states/eV/atom.

The most stable of them is (ii).

(i)
Nb4VW2: relaxed, PBE.

The space group is Cmmm (No. 65) and the conventional cell measures 4.7790, 19.1362 and 2.6669 Å, with angles of 90.00, 90.00 and 90.00 degrees. The inequivalent atoms are Nb at (0.0000, 0.0688, 0.0000), Nb at (0.0000, 0.3558, 0.5000), V at (0.0000, 0.5000, 0.5000) and W at (0.0000, 0.2119, 0.0000).

The value obtained for the density of states at the Fermi level is 1.03 states/eV/atom.

(ii)
Nb4VW2: relaxed, PBE.

The space group is I4/mmm (No. 139) and the conventional cell measures 6.3834, 6.3834 and 6.3410 Å, with angles of 90.00, 90.00 and 90.00 degrees. The inequivalent atoms are Nb at (0.2500, 0.2500, 0.2500), V at (0.0000, 0.0000, 0.0000) and W at (0.0000, 0.5000, 0.0000).

The value obtained for the density of states at the Fermi level is 1.14 states/eV/atom.

The most stable of them is (i).

(i)
NbV6W2: relaxed, PBE.

The space group is P-1 (No. 2) and the conventional cell measures 2.7137, 6.7082 and 7.4617 Å, with angles of 79.00, 89.59 and 81.89 degrees. The inequivalent atoms are Nb at (0.0000, 0.0000, 0.0000), V at (0.2199, 0.3428, 0.1095), V at (0.3276, 0.0009, 0.6640), V at (0.4493, 0.6597, 0.2215) and W at (0.1083, 0.6701, 0.5567).

The value obtained for the density of states at the Fermi level is 1.50 states/eV/atom.

(ii)
NbV6W2: relaxed, PBE.

The space group is C2/m (No. 12) and the conventional cell measures 8.6769, 5.1011 and 6.5357 Å, with angles of 90.00, 110.32 and 90.00 degrees. The inequivalent atoms are Nb at (0.0000, 0.0000, 0.0000), V at (0.0546, 0.2609, 0.6983), V at (0.2467, 0.0000, 0.4695) and W at (0.1777, 0.5000, 0.1020).

The value obtained for the density of states at the Fermi level is 1.12 states/eV/atom.

The most stable of them is (i).

(i)
YNbV2: relaxed, PBE.

The space group is Fm-3m (No. 225) and the conventional cell measures 6.7055, 6.7055 and 6.7055 Å, with angles of 90.00, 90.00 and 90.00 degrees. The inequivalent atoms are Y at (0.0000, 0.0000, 0.0000), Nb at (0.0000, 0.0000, 0.5000) and V at (0.2500, 0.2500, 0.2500).

The value obtained for the density of states at the Fermi level is 1.20 states/eV/atom.

(ii)
YNbV2: relaxed, PBE.

The space group is I-42d (No. 122) and the conventional cell measures 7.2870, 7.2870 and 5.8579 Å, with angles of 90.00, 90.00 and 90.00 degrees. The inequivalent atoms are Y at (0.0000, 0.0000, 0.0000), Nb at (0.0000, 0.0000, 0.5000) and V at (0.2197, 0.2500, 0.6250).

The value obtained for the density of states at the Fermi level is 1.43 states/eV/atom.

The most stable of them is (i).

(i)
Y3NbV: relaxed, PBE.

The space group is Pm-3m (No. 221) and the conventional cell measures 5.3915, 5.3915 and 5.3915 Å, with angles of 90.00, 90.00 and 90.00 degrees. The inequivalent atoms are Y at (0.0000, 0.0000, 0.5000), Nb at (0.0000, 0.0000, 0.0000) and V at (0.5000, 0.5000, 0.5000).

The value obtained for the density of states at the Fermi level is 1.87 states/eV/atom.

(ii)
Y3NbV: relaxed, PBE.

The space group is Pm-3m (No. 221) and the conventional cell measures 5.2055, 5.2055 and 5.2055 Å, with angles of 90.00, 90.00 and 90.00 degrees. The inequivalent atoms are Y at (0.0000, 0.0000, 0.5000), Nb at (0.5000, 0.5000, 0.5000) and V at (0.0000, 0.0000, 0.0000).

The value obtained for the density of states at the Fermi level is 1.46 states/eV/atom.

The most stable of them is (ii).

(i)
YNb2V: relaxed, PBE.

The space group is R-3m (No. 166, hexagonal axes) and the conventional cell measures 3.0906, 3.0906 and 29.6557 Å, with angles of 90.00, 90.00 and 120.00 degrees. The inequivalent atoms are Y at (0.0000, 0.0000, 0.0000), Nb at (0.0000, 0.0000, 0.1008) and V at (0.0000, 0.0000, 0.5000).

The value obtained for the density of states at the Fermi level is 1.33 states/eV/atom.

(ii)
YNb2V: relaxed, PBE.

The space group is Fm-3m (No. 225) and the conventional cell measures 6.7368, 6.7368 and 6.7368 Å, with angles of 90.00, 90.00 and 90.00 degrees. The inequivalent atoms are Y at (0.0000, 0.0000, 0.0000), Nb at (0.2500, 0.2500, 0.2500) and V at (0.0000, 0.0000, 0.5000).

The value obtained for the density of states at the Fermi level is 1.89 states/eV/atom.

The most stable of them is (ii).

(i)
Nb3VZn: relaxed, PBE.

The space group is Pm-3m (No. 221) and the conventional cell measures 4.6342, 4.6342 and 4.6342 Å, with angles of 90.00, 90.00 and 90.00 degrees. The inequivalent atoms are Nb at (0.0000, 0.0000, 0.5000), V at (0.0000, 0.0000, 0.0000) and Zn at (0.5000, 0.5000, 0.5000).

The value obtained for the density of states at the Fermi level is 0.85 states/eV/atom.

(ii)
Nb3VZn: relaxed, PBE.

The space group is Pm-3m (No. 221) and the conventional cell measures 4.7130, 4.7130 and 4.7130 Å, with angles of 90.00, 90.00 and 90.00 degrees. The inequivalent atoms are Nb at (0.0000, 0.0000, 0.5000), V at (0.5000, 0.5000, 0.5000) and Zn at (0.0000, 0.0000, 0.0000).

The value obtained for the density of states at the Fermi level is 1.43 states/eV/atom.

The most stable of them is (i).

(i)
NbVZn2: relaxed, PBE.

The space group is P4/mmm (No. 123) and the conventional cell measures 3.8764, 3.8764 and 3.9961 Å, with angles of 90.00, 90.00 and 90.00 degrees. The inequivalent atoms are Nb at (0.0000, 0.0000, 0.0000), V at (0.5000, 0.5000, 0.0000) and Zn at (0.0000, 0.5000, 0.5000).

The value obtained for the density of states at the Fermi level is 0.85 states/eV/atom.

(ii)
NbVZn2: relaxed, PBE.

The space group is I-42d (No. 122) and the conventional cell measures 7.1150, 7.1150 and 5.0801 Å, with angles of 90.00, 90.00 and 90.00 degrees. The inequivalent atoms are Nb at (0.0000, 0.0000, 0.0000), V at (0.0000, 0.0000, 0.5000) and Zn at (0.2346, 0.2500, 0.6250).

The value obtained for the density of states at the Fermi level is 0.54 states/eV/atom.

The most stable of them is (i).

(i)
NbVZn2: relaxed, PBE.

The space group is P4/mmm (No. 123) and the conventional cell measures 2.7641, 2.7641 and 7.8775 Å, with angles of 90.00, 90.00 and 90.00 degrees. The inequivalent atoms are Nb at (0.0000, 0.0000, 0.0000), V at (0.0000, 0.0000, 0.5000) and Zn at (0.5000, 0.5000, 0.2628).

The value obtained for the density of states at the Fermi level is 0.72 states/eV/atom.

(ii)
NbVZn2: relaxed, PBE.

The space group is Fm-3m (No. 225) and the conventional cell measures 6.2593, 6.2593 and 6.2593 Å, with angles of 90.00, 90.00 and 90.00 degrees. The inequivalent atoms are Nb at (0.0000, 0.0000, 0.0000), V at (0.0000, 0.0000, 0.5000) and Zn at (0.2500, 0.2500, 0.2500).

The value obtained for the density of states at the Fermi level is 0.94 states/eV/atom.

The most stable of them is (i).

(i)
NbVZn: relaxed, PBE.

The space group is I4mm (No. 107) and the conventional cell measures 3.3023, 3.3023 and 8.5816 Å, with angles of 90.00, 90.00 and 90.00 degrees. The inequivalent atoms are Nb at (0.0000, 0.0000, 0.0000), V at (0.0000, 0.0000, 0.3368) and Zn at (0.0000, 0.0000, 0.6753).

The value obtained for the density of states at the Fermi level is 1.39 states/eV/atom.

(ii)
NbVZn: relaxed, PBE.

The space group is P-3m1 (No. 164) and the conventional cell measures 2.8991, 2.8991 and 13.2513 Å, with angles of 90.00, 90.00 and 120.00 degrees. The inequivalent atoms are Nb at (0.0000, 0.0000, 0.2402), V at (0.3333, 0.6667, 0.9313) and Zn at (0.3333, 0.6667, 0.4184).

The value obtained for the density of states at the Fermi level is 1.38 states/eV/atom.

The most stable of them is (i).

(i)
NbVZn: relaxed, PBE.

The space group is P3m1 (No. 156) and the conventional cell measures 4.6121, 4.6121 and 2.5363 Å, with angles of 90.00, 90.00 and 120.00 degrees. The inequivalent atoms are Nb at (0.0000, 0.0000, 0.0000), V at (0.3333, 0.6667, 0.6335) and Zn at (0.6667, 0.3333, 0.3746).

The value obtained for the density of states at the Fermi level is 0.66 states/eV/atom.

(ii)
NbVZn: relaxed, PBE.

The space group is C2/m (No. 12) and the conventional cell measures 4.2302, 4.2304 and 10.4592 Å, with angles of 90.00, 90.09 and 90.00 degrees. The inequivalent atoms are Nb at (0.2489, 0.0000, 0.2377), V at (0.2503, 0.0000, 0.9373) and Zn at (0.2503, 0.0000, 0.5756).

The value obtained for the density of states at the Fermi level is 0.97 states/eV/atom.

The most stable of them is (ii).